Record 1
5
Lattice="3.903 0.000 0.000 0.000 3.903 0.000 0.000 0.000 6.472" Properties=species:S:1:pos:R:3 comment="LaSnH2Au (PBE-GGA, optimized geometry)" sg="No. 99" e_tot_ev_per_atom=-4.032 pbc="T T T"
La 0.000 0.000 0.000
Sn 1.952 1.952 2.004
H 0.000 1.952 4.881
H 1.952 0.000 4.881
Au 1.952 1.952 4.814

Record 2
5
Lattice="4.671 0.000 0.000 -2.336 4.045 0.000 0.000 0.000 4.710" Properties=species:S:1:pos:R:3 comment="LaSnH2Au (PBE-GGA, optimized geometry)" sg="No. 187" e_tot_ev_per_atom=-4.199 pbc="T T T"
La 0.000 0.000 0.000
Sn 0.000 2.697 2.355
H 2.336 1.348 0.476
H 2.336 1.348 4.233
Au 2.336 1.348 2.355

Record 3
5
Lattice="2.031 1.172 6.551 -2.031 1.172 6.551 0.000 -2.345 6.551" Properties=species:S:1:pos:R:3 comment="LaSnH2Au (PBE-GGA, optimized geometry)" sg="No. 160" e_tot_ev_per_atom=-4.205 pbc="T T T"
La 0.000 0.000 0.000
Sn 0.000 0.000 3.911
H 0.000 0.000 7.176
H 0.000 0.000 12.971
Au 0.000 0.000 9.027